Record 1
## ErBiN2O (GGA-PBE)

Data for ErBiN2O after structural relaxation.

Lattice parameters (Å, degrees): 3.6016 6.6710 6.0680 90.00 90.00 90.00
Last column: nearest neighbours and their distance in Å.
Space group Pmc2_1 (No. 26)
One atom of each set of equivalent atoms:
Er (0.0000, 0.1501, 0.0000) [2 per cell]  4 N 2.28-2.44, 2 O 2.36
Bi (0.5000, 0.3293, 0.5352) [2 per cell]  4 N 2.09-2.27, 1 O 2.25
N (0.0000, 0.1765, 0.6124) [2 per cell]  2 Bi 2.12, 2 Er 2.28-2.36
N (0.5000, 0.3804, 0.9043) [2 per cell]  2 Bi 2.09-2.27
O (0.5000, 0.1159, 0.2482) [2 per cell]  1 Bi 2.25, 2 Er 2.36

Results
- Calculated density: 9.57 g/cm³

Record 2
## NdErBi2Te2 (GGA-PBE)

Data for NdErBi2Te2 after structural relaxation.

Lattice parameters (Å, degrees): 4.4145 4.4145 9.4306 90.00 90.00 90.00
Last column: nearest neighbours and their distance in Å.
Space group P4mm (No. 99)
One atom of each set of equivalent atoms:
Nd (0.0000, 0.0000, 0.0000) [1 per cell]  5 Te 3.25-3.27, 4 Bi 3.49
Er (0.5000, 0.5000, 0.4311) [1 per cell]  5 Te 3.16-3.22, 4 Bi 3.46
Bi (0.0000, 0.5000, 0.7131) [2 per cell]  4 Bi 3.12, 2 Er 3.46, 2 Nd 3.49
Te (0.0000, 0.0000, 0.3471) [1 per cell]  4 Er 3.22, 1 Nd 3.27
Te (0.5000, 0.5000, 0.0965) [1 per cell]  1 Er 3.16, 4 Nd 3.25

Results
- Calculated density: 8.90 g/cm³

Record 3
## Er12Ni6Bi (GGA-PBE)

Data for Er12Ni6Bi after structural relaxation.

Lattice parameters (Å, degrees): 9.6331 9.6331 9.6331 90.00 90.00 90.00
Last column: nearest neighbours and their distance in Å.
Space group Im-3 (No. 204)
One atom of each set of equivalent atoms:
Er (0.0000, 0.1887, 0.3065) [24 per cell]  3 Ni 2.60-2.86
Ni (0.0000, 0.3762, 0.5000) [12 per cell]  1 Ni 2.39, 2 Er 2.60
Bi (0.0000, 0.0000, 0.0000) [2 per cell]  12 Er 3.47

Results
- Calculated density: 9.54 g/cm³

Record 4
## Er5Ni2Bi (GGA-PBE)

Data for Er5Ni2Bi after structural relaxation.

Lattice parameters (Å, degrees): 7.6109 7.6109 13.4225 90.00 90.00 90.00
Last column: nearest neighbours and their distance in Å.
Space group I4/mcm (No. 140)
One atom of each set of equivalent atoms:
Er (0.0000, 0.0000, 0.0000) [4 per cell]  4 Ni 2.96
Er (0.1546, 0.3454, 0.1344) [16 per cell]  3 Ni 2.85-2.89
Ni (0.1354, 0.3646, 0.5000) [8 per cell]  8 Er 2.85-2.96, 1 Ni 2.91
Bi (0.0000, 0.0000, 0.2500) [4 per cell]  10 Er 3.27-3.36

Results
- Calculated density: 9.93 g/cm³

Record 5
## ErNi4Bi (GGA-PBE)

Data for ErNi4Bi after structural relaxation.

Lattice parameters (Å, degrees): 7.1367 7.1367 7.1367 90.00 90.00 90.00
Last column: nearest neighbours and their distance in Å.
Space group F-43m (No. 216)
One atom of each set of equivalent atoms:
Er (0.0000, 0.0000, 0.0000) [4 per cell]  12 Ni 2.96, 4 Bi 3.09
Ni (0.1258, 0.1258, 0.6258) [16 per cell]  6 Ni 2.51-2.54
Bi (0.2500, 0.2500, 0.2500) [4 per cell]  12 Ni 2.96, 4 Er 3.09

Results
- Calculated density: 11.17 g/cm³

Record 6
## ErNpBi (GGA-PBE)

Data for ErNpBi after structural relaxation.

Lattice parameters (Å, degrees): 7.3791 7.3791 7.3791 90.00 90.00 90.00
Last column: nearest neighbours and their distance in Å.
Space group F-43m (No. 216)
One atom of each set of equivalent atoms:
Er (0.0000, 0.0000, 0.0000) [4 per cell]  4 Np 3.20, 4 Bi 3.20
Np (0.2500, 0.2500, 0.2500) [4 per cell]  4 Er 3.20
Bi (0.2500, 0.2500, 0.7500) [4 per cell]  4 Er 3.20

Results
- Calculated density: 10.14 g/cm³

Record 7
## ErBiPb2O6 (GGA-PBE)

Data for ErBiPb2O6 after structural relaxation.

Lattice parameters (Å, degrees): 5.3410 5.3823 5.8446 97.97 100.55 103.43
Last column: nearest neighbours and their distance in Å.
Space group P-1 (No. 2)
One atom of each set of equivalent atoms:
Er (0.0000, 0.0000, 0.0000) [1 per cell]  6 O 2.19-2.31
Bi (0.5000, 0.5000, 0.0000) [1 per cell]  6 O 2.10-2.18
Pb (0.2542, 0.7184, 0.4476) [2 per cell]  3 O 2.32-2.43
O (0.1758, 0.2438, 0.7427) [2 per cell]  1 Bi 2.13, 1 Er 2.31
O (0.2955, 0.7824, 0.0671) [2 per cell]  1 Bi 2.10, 1 Er 2.19, 1 Pb 2.34
O (0.3085, 0.3301, 0.2616) [2 per cell]  1 Bi 2.18, 1 Er 2.27, 1 Pb 2.32

Results
- Calculated density: 9.33 g/cm³

Record 8
## ErBiS2O (GGA-PBE)

Data for ErBiS2O after structural relaxation.

Lattice parameters (Å, degrees): 3.8959 3.8959 14.0782 90.00 90.00 90.00
Last column: nearest neighbours and their distance in Å.
Space group P4/nmm (No. 129, origin choice 2)
One atom of each set of equivalent atoms:
Er (0.2500, 0.2500, 0.0776) [2 per cell]  4 O 2.23
Bi (0.2500, 0.2500, 0.6378) [2 per cell]  5 S 2.54-2.80
S (0.2500, 0.2500, 0.3982) [2 per cell]  4 Bi 2.80
S (0.2500, 0.2500, 0.8180) [2 per cell]  1 Bi 2.54
O (0.2500, 0.7500, 0.0000) [2 per cell]  4 Er 2.23

Results
- Calculated density: 7.09 g/cm³

Record 9
## SmErBiO2 (GGA-PBE)

Data for SmErBiO2 after structural relaxation.

Lattice parameters (Å, degrees): 3.8985 3.8985 13.5469 90.00 90.00 90.00
Last column: nearest neighbours and their distance in Å.
Space group I4mm (No. 107)
One atom of each set of equivalent atoms:
Sm (0.0000, 0.0000, 0.0000) [2 per cell]  4 O 2.29
Er (0.0000, 0.0000, 0.6664) [2 per cell]  4 O 2.21
Bi (0.0000, 0.0000, 0.3330) [2 per cell]  4 Er 3.56, 4 Sm 3.57, 8 O 3.84-3.98, 4 Bi 3.90
O (0.0000, 0.5000, 0.0891) [4 per cell]  2 Er 2.21, 2 Sm 2.29

Results
- Calculated density: 9.01 g/cm³

Record 10
## Er3Sc3Bi2Os (GGA-PBE)

Data for Er3Sc3Bi2Os after structural relaxation.

Lattice parameters (Å, degrees): 8.0743 8.0743 4.0694 90.00 90.00 120.00
Last column: nearest neighbours and their distance in Å.
Space group P-62m (No. 189)
One atom of each set of equivalent atoms:
Er (0.0000, 0.2401, 0.0000) [3 per cell]  2 Os 2.81, 2 Bi 3.14
Sc (0.0000, 0.6173, 0.5000) [3 per cell]  1 Os 3.09, 4 Bi 3.24, 4 Er 3.38
Bi (0.3333, 0.6667, 0.0000) [2 per cell]  3 Er 3.14, 6 Sc 3.24
Os (0.0000, 0.0000, 0.5000) [1 per cell]  6 Er 2.81, 3 Sc 3.09

Results
- Calculated density: 9.00 g/cm³
- Distance to the lowest polymorph of the same formula: 13.1 kJ per mole of atoms

Record 11
## Er3Sc3Bi2Os (GGA-PBE)

Data for Er3Sc3Bi2Os after structural relaxation.

Lattice parameters (Å, degrees): 7.9196 7.9196 4.1898 90.00 90.00 120.00
Last column: nearest neighbours and their distance in Å.
Space group P-62m (No. 189)
One atom of each set of equivalent atoms:
Er (0.0000, 0.6148, 0.0000) [3 per cell]  1 Os 3.05, 4 Bi 3.23, 4 Sc 3.38
Sc (0.0000, 0.2251, 0.5000) [3 per cell]  2 Os 2.75
Bi (0.3333, 0.6667, 0.5000) [2 per cell]  3 Sc 3.16, 6 Er 3.23
Os (0.0000, 0.0000, 0.0000) [1 per cell]  6 Sc 2.75, 3 Er 3.05

Results
- Calculated density: 9.08 g/cm³
- Distance to the lowest polymorph of the same formula: 0.0 kJ per mole of atoms

Record 12
## Er4Sc2Bi2Os (GGA-PBE)

Data for Er4Sc2Bi2Os after structural relaxation.

Lattice parameters (Å, degrees): 4.2107 13.9089 8.0375 90.00 90.00 90.00
Last column: nearest neighbours and their distance in Å.
Space group Amm2 (No. 38)
One atom of each set of equivalent atoms:
Er (0.0000, 0.0000, 0.0000) [2 per cell]  1 Os 2.98, 4 Bi 3.29
Er (0.0000, 0.1942, 0.4274) [4 per cell]  1 Os 3.15, 4 Bi 3.22-3.29, 2 Sc 3.42, 2 Er 3.44
Er (0.5000, 0.0000, 0.3902) [2 per cell]  2 Os 2.85, 2 Sc 3.17
Sc (0.5000, 0.1130, 0.7327) [4 per cell]  2 Os 2.75
Bi (0.5000, 0.1688, 0.1160) [4 per cell]  2 Sc 3.18, 7 Er 3.22-3.29
Os (0.0000, 0.0000, 0.6299) [2 per cell]  4 Sc 2.75, 3 Er 2.85-2.98

Results
- Calculated density: 9.65 g/cm³

Number 1: electronic total energy -6.68 eV per atom. Number 2: electronic total energy -4.97 eV per atom. Number 3: electronic total energy -5.28 eV per atom. Number 4: electronic total energy -5.23 eV per atom. Number 5: electronic total energy -5.41 eV per atom. Number 6: electronic total energy -6.62 eV per atom. Number 7: electronic total energy -6.09 eV per atom. Number 8: electronic total energy -6.09 eV per atom. Number 9: electronic total energy -7.31 eV per atom. Number 10: electronic total energy -6.25 eV per atom. Number 11: electronic total energy -6.38 eV per atom. Number 12: electronic total energy -6.16 eV per atom.